A geometry-optimized Cs2CdFeO4 structure. Source: Alexandria, functional PBE with a Hubbard U.

Calculated values
The calculation puts the calculated total energy at -0.3409 Ry/atom.

Cell and atoms, written as CIF:
```
data_Cs2CdFeO4
_chemical_formula_sum 'Cs16 Cd8 Fe8 O32'
_space_group_name_H-M_alt 'F d d d'
_space_group_IT_number 70
_cell_length_a 5.715
_cell_length_b 12.853
_cell_length_c 21.956
_cell_angle_alpha 90.00
_cell_angle_beta 90.00
_cell_angle_gamma 90.00
loop_
_space_group_symop_operation_xyz
'x,y,z'
'-x,-y,-z'
'-x+1/4,-y+1/4,z'
'x+1/4,y+1/4,-z'
'x,-y+1/4,-z+1/4'
'-x,y+1/4,z+1/4'
'-x+1/4,y,-z+1/4'
'x+1/4,-y,z+1/4'
'x,y+1/2,z+1/2'
'-x,-y+1/2,-z+1/2'
'-x+1/4,-y+3/4,z+1/2'
'x+1/4,y+3/4,-z+1/2'
'x,-y+3/4,-z+3/4'
'-x,y+3/4,z+3/4'
'-x+1/4,y+1/2,-z+3/4'
'x+1/4,-y+1/2,z+3/4'
'x+1/2,y,z+1/2'
'-x+1/2,-y,-z+1/2'
'-x+3/4,-y+1/4,z+1/2'
'x+3/4,y+1/4,-z+1/2'
'x+1/2,-y+1/4,-z+3/4'
'-x+1/2,y+1/4,z+3/4'
'-x+3/4,y,-z+3/4'
'x+3/4,-y,z+3/4'
'x+1/2,y+1/2,z'
'-x+1/2,-y+1/2,-z'
'-x+3/4,-y+3/4,z'
'x+3/4,y+3/4,-z'
'x+1/2,-y+3/4,-z+1/4'
'-x+1/2,y+3/4,z+1/4'
'-x+3/4,y+1/2,-z+1/4'
'x+3/4,-y+1/2,z+1/4'
loop_
_atom_site_label
_atom_site_type_symbol
_atom_site_fract_x
_atom_site_fract_y
_atom_site_fract_z
Cs1 Cs 0.125 0.125 0.306
Cd1 Cd 0.125 0.125 0.125
Fe1 Fe 0.125 0.125 0.625
O1 O 0.080 0.284 0.839
```